VASP calculation (PBE-GGA) on crystalline ErTmZnNi2 at its relaxed geometry.

Output
formation enthalpy at 0 K: -0.5035 eV/atom
energy: -24.0 eV per formula unit

The structure in POSCAR format:
```
ErTmZnNi2
1.0
5.039 -1.078 -0.892
2.044 2.062 4.349
-3.542 -3.764 -0.797
Er Ni Tm Zn
1 2 1 1
Direct
0.704 0.204 0.500
0.728 0.500 0.229
0.271 0.500 0.771
0.296 0.796 0.500
0.000 0.000 0.000
```